*A*
## TcPd3I (PBE)

Data for a relaxed structure of TcPd3I.

```
data_TcPd3I
_cell_length_a 4.929
_cell_length_b 4.929
_cell_length_c 4.929
_cell_angle_alpha 90.00
_cell_angle_beta 90.00
_cell_angle_gamma 90.00
_space_group_name_H-M_alt 'P m -3 m'
_space_group_IT_number 221
_space_group_name_Hall '-P 4 2 3'
loop_
_atom_site_label
_atom_site_type_symbol
_atom_site_fract_x
_atom_site_fract_y
_atom_site_fract_z
Tc1 Tc 0.000 0.000 0.000
Pd1 Pd 0.000 0.500 0.500
I1 I 0.500 0.500 0.500
```

---

*B*
## TcPd3I (PBE)

Data for a relaxed structure of TcPd3I.

```
data_TcPd3I
_cell_length_a 4.862
_cell_length_b 4.862
_cell_length_c 4.862
_cell_angle_alpha 90.00
_cell_angle_beta 90.00
_cell_angle_gamma 90.00
_space_group_name_H-M_alt 'P m -3 m'
_space_group_IT_number 221
_space_group_name_Hall '-P 4 2 3'
loop_
_atom_site_label
_atom_site_type_symbol
_atom_site_fract_x
_atom_site_fract_y
_atom_site_fract_z
Tc1 Tc 0.000 0.000 0.000
Pd1 Pd 0.000 0.000 0.500
I1 I 0.500 0.500 0.500
```

---

Quick look at relative energies in eV/atom: *A* 0.128; *B* 0.000.

---

*A*
## TePd2I (PBE)

Data for a relaxed structure of TePd2I.

```
data_TePd2I
_cell_length_a 6.998
_cell_length_b 6.998
_cell_length_c 6.998
_cell_angle_alpha 90.00
_cell_angle_beta 90.00
_cell_angle_gamma 90.00
_space_group_name_H-M_alt 'F m -3 m'
_space_group_IT_number 225
_space_group_name_Hall '-F 4 2 3'
loop_
_atom_site_label
_atom_site_type_symbol
_atom_site_fract_x
_atom_site_fract_y
_atom_site_fract_z
Te1 Te 0.000 0.000 0.000
Pd1 Pd 0.250 0.250 0.250
I1 I 0.000 0.000 0.500
```

---

*B*
## TePd2I (PBE)

Data for a relaxed structure of TePd2I.

```
data_TePd2I
_cell_length_a 4.4742
_cell_length_b 4.4742
_cell_length_c 20.3010
_cell_angle_alpha 90.00
_cell_angle_beta 90.00
_cell_angle_gamma 120.00
_space_group_name_H-M_alt 'R -3 m'
_space_group_IT_number 166
_space_group_name_Hall '-R 3 2"'
loop_
_atom_site_label
_atom_site_type_symbol
_atom_site_fract_x
_atom_site_fract_y
_atom_site_fract_z
Te1 Te 0.0000 0.0000 0.0000
Pd1 Pd 0.0000 0.0000 0.3672
I1 I 0.0000 0.0000 0.5000
```

---

*C*
## TePd2I (PBE)

Data for a relaxed structure of TePd2I.

```
data_TePd2I
_cell_length_a 6.512
_cell_length_b 6.512
_cell_length_c 10.745
_cell_angle_alpha 90.00
_cell_angle_beta 90.00
_cell_angle_gamma 90.00
_space_group_name_H-M_alt 'I -4 2 d'
_space_group_IT_number 122
_space_group_name_Hall 'I -4 2bw'
loop_
_atom_site_label
_atom_site_type_symbol
_atom_site_fract_x
_atom_site_fract_y
_atom_site_fract_z
Te1 Te 0.000 0.000 0.000
Pd1 Pd 0.228 0.250 0.125
I1 I 0.000 0.000 0.500
```

---

*D*
## TePd2I (PBE)

Data for a relaxed structure of TePd2I.

```
data_TePd2I
_cell_length_a 13.561
_cell_length_b 3.896
_cell_length_c 4.082
_cell_angle_alpha 90.00
_cell_angle_beta 104.46
_cell_angle_gamma 90.00
_space_group_name_H-M_alt 'C 1 m 1'
_space_group_IT_number 8
loop_
_space_group_symop_operation_xyz
'x,y,z'
'x,-y,z'
'x+1/2,y+1/2,z'
'x+1/2,-y+1/2,z'
loop_
_atom_site_label
_atom_site_type_symbol
_atom_site_fract_x
_atom_site_fract_y
_atom_site_fract_z
Te1 Te 0.000 0.000 0.000
Pd1 Pd 0.139 0.500 0.137
Pd2 Pd 0.480 0.000 0.491
I1 I 0.274 0.000 0.395
```

---

Quick look at relative energies in eV/atom: *A* 0.368; *B* 0.034; *C* 0.094; *D* 0.000.

---

*A*
## Te2PdI2 (PBE)

Data for a relaxed structure of Te2PdI2.

```
data_Te2PdI2
_cell_length_a 5.574
_cell_length_b 19.887
_cell_length_c 8.060
_cell_angle_alpha 90.00
_cell_angle_beta 90.00
_cell_angle_gamma 90.00
_space_group_name_H-M_alt 'I b a m'
_space_group_IT_number 72
_space_group_name_Hall '-I 2 2c'
loop_
_atom_site_label
_atom_site_type_symbol
_atom_site_fract_x
_atom_site_fract_y
_atom_site_fract_z
Te1 Te 0.093 0.080 0.000
Pd1 Pd 0.000 0.000 0.250
I1 I 0.236 0.185 0.500
```

---

*B*
## Te2PdI2 (PBE)

Data for a relaxed structure of Te2PdI2.

```
data_Te2PdI2
_cell_length_a 8.924
_cell_length_b 11.457
_cell_length_c 8.194
_cell_angle_alpha 90.00
_cell_angle_beta 110.67
_cell_angle_gamma 90.00
_space_group_name_H-M_alt 'C 1 2/m 1'
_space_group_IT_number 12
loop_
_space_group_symop_operation_xyz
'x,y,z'
'-x,-y,-z'
'-x,y,-z'
'x,-y,z'
'x+1/2,y+1/2,z'
'-x+1/2,-y+1/2,-z'
'-x+1/2,y+1/2,-z'
'x+1/2,-y+1/2,z'
loop_
_atom_site_label
_atom_site_type_symbol
_atom_site_fract_x
_atom_site_fract_y
_atom_site_fract_z
Te1 Te 0.085 0.000 0.247
Te2 Te 0.245 0.000 0.991
Pd1 Pd 0.000 0.161 0.000
I1 I 0.079 0.324 0.259
```

---

Quick look at relative energies in eV/atom: *A* 0.000; *B* 0.025.

---

*A*
## Te3PdI (PBE)

Data for a relaxed structure of Te3PdI.

```
data_Te3PdI
_cell_length_a 15.312
_cell_length_b 13.439
_cell_length_c 7.061
_cell_angle_alpha 90.00
_cell_angle_beta 90.00
_cell_angle_gamma 90.00
_space_group_name_H-M_alt 'C m c e'
_space_group_IT_number 64
_space_group_name_Hall '-C 2ac 2'
loop_
_atom_site_label
_atom_site_type_symbol
_atom_site_fract_x
_atom_site_fract_y
_atom_site_fract_z
Te1 Te 0.000 0.009 0.200
Te2 Te 0.115 0.184 0.233
Pd1 Pd 0.000 0.245 0.485
I1 I 0.250 0.138 0.750
```

---

*B*
## Te3PdI (PBE)

Data for a relaxed structure of Te3PdI.

```
data_Te3PdI
_cell_length_a 5.339
_cell_length_b 5.339
_cell_length_c 5.339
_cell_angle_alpha 90.00
_cell_angle_beta 90.00
_cell_angle_gamma 90.00
_space_group_name_H-M_alt 'P m -3 m'
_space_group_IT_number 221
_space_group_name_Hall '-P 4 2 3'
loop_
_atom_site_label
_atom_site_type_symbol
_atom_site_fract_x
_atom_site_fract_y
_atom_site_fract_z
Te1 Te 0.000 0.000 0.500
Pd1 Pd 0.000 0.000 0.000
I1 I 0.500 0.500 0.500
```

---

Quick look at relative energies in eV/atom: *A* 0.000; *B* 0.470.

---

*A*
## TlTe2PdI (PBE)

Data for a relaxed structure of TlTe2PdI.

```
data_TlTe2PdI
_cell_length_a 5.779
_cell_length_b 5.779
_cell_length_c 6.089
_cell_angle_alpha 90.00
_cell_angle_beta 90.00
_cell_angle_gamma 90.00
_space_group_name_H-M_alt 'P 4/m m m'
_space_group_IT_number 123
_space_group_name_Hall '-P 4 2'
loop_
_atom_site_label
_atom_site_type_symbol
_atom_site_fract_x
_atom_site_fract_y
_atom_site_fract_z
Tl1 Tl 0.000 0.000 0.000
Te1 Te 0.000 0.500 0.000
Pd1 Pd 0.500 0.500 0.500
I1 I 0.000 0.000 0.500
```

---

*B*
## TlTe2PdI (PBE)

Data for a relaxed structure of TlTe2PdI.

```
data_TlTe2PdI
_cell_length_a 5.349
_cell_length_b 5.349
_cell_length_c 5.737
_cell_angle_alpha 90.00
_cell_angle_beta 90.00
_cell_angle_gamma 90.00
_space_group_name_H-M_alt 'P 4/m m m'
_space_group_IT_number 123
_space_group_name_Hall '-P 4 2'
loop_
_atom_site_label
_atom_site_type_symbol
_atom_site_fract_x
_atom_site_fract_y
_atom_site_fract_z
Tl1 Tl 0.000 0.000 0.000
Te1 Te 0.000 0.500 0.500
Pd1 Pd 0.500 0.500 0.500
I1 I 0.500 0.500 0.000
```

---

Quick look at relative energies in eV/atom: *A* 0.873; *B* 0.000.

---

*A*
## ZnTePdI (PBE)

Data for a relaxed structure of ZnTePdI.

```
data_ZnTePdI
_cell_length_a 8.161
_cell_length_b 4.130
_cell_length_c 7.937
_cell_angle_alpha 90.00
_cell_angle_beta 94.12
_cell_angle_gamma 90.00
_space_group_name_H-M_alt 'C 1 m 1'
_space_group_IT_number 8
loop_
_space_group_symop_operation_xyz
'x,y,z'
'x,-y,z'
'x+1/2,y+1/2,z'
'x+1/2,-y+1/2,z'
loop_
_atom_site_label
_atom_site_type_symbol
_atom_site_fract_x
_atom_site_fract_y
_atom_site_fract_z
Zn1 Zn 0.000 0.000 0.000
Te1 Te 0.363 0.500 0.688
Pd1 Pd 0.186 0.000 0.747
I1 I 0.023 0.500 0.211
```

---

*B*
## ZnTePdI (PBE)

Data for a relaxed structure of ZnTePdI.

```
data_ZnTePdI
_cell_length_a 4.048
_cell_length_b 4.656
_cell_length_c 6.979
_cell_angle_alpha 78.21
_cell_angle_beta 89.74
_cell_angle_gamma 64.26
_space_group_name_H-M_alt 'P 1'
_space_group_IT_number 1
loop_
_space_group_symop_operation_xyz
'x,y,z'
loop_
_atom_site_label
_atom_site_type_symbol
_atom_site_fract_x
_atom_site_fract_y
_atom_site_fract_z
Zn1 Zn 0.000 0.000 0.000
Te1 Te 0.330 0.336 0.163
Pd1 Pd 0.688 0.627 0.912
I1 I 0.066 0.878 0.627
```

---

Quick look at relative energies in eV/atom: *A* 0.000; *B* 0.050.